<1>
MgNbNi3 (PBE, optimized geometry); magnetic moment = 0.00 μB/atom; symmetry = Cmcm, No. 63
1.0
2.445 -6.443 0.000
2.445 6.443 0.000
0.000 0.000 4.552
Mg Nb Ni
2 2 6
direct
0.069 0.931 0.750
0.931 0.069 0.250
0.300 0.700 0.250
0.700 0.300 0.750
0.116 0.393 0.750
0.393 0.116 0.250
0.500 0.500 0.000
0.500 0.500 0.500
0.607 0.884 0.750
0.884 0.607 0.250

<2>
MgNbNi3 (PBE, optimized geometry); magnetic moment = 0.00 μB/atom; symmetry = Pm-3m, No. 221
1.0
4.559 0.000 0.000
0.000 4.559 0.000
0.000 0.000 4.559
Mg Nb Ni
1 1 3
direct
0.000 0.000 0.000
0.500 0.500 0.500
0.000 0.500 0.500
0.500 0.000 0.500
0.500 0.500 0.000

Short version: <2> is the least stable of them.

<1>
Mg14NbNi (PBE, optimized geometry); magnetic moment = 0.00 μB/atom; symmetry = Amm2, No. 38
1.0
9.960 0.000 0.000
0.000 3.080 5.452
0.000 -3.080 5.452
Mg Nb Ni
14 1 1
direct
0.000 0.000 0.000
0.000 0.003 0.497
0.000 0.497 0.003
0.000 0.498 0.498
0.252 0.662 0.662
0.266 0.170 0.669
0.266 0.669 0.170
0.275 0.155 0.155
0.500 0.519 0.999
0.500 0.999 0.519
0.725 0.155 0.155
0.734 0.170 0.669
0.734 0.669 0.170
0.748 0.662 0.662
0.500 0.510 0.510
0.500 0.994 0.994

<2>
Mg14NbNi (PBE, optimized geometry); magnetic moment = 0.00 μB/atom; symmetry = P-6m2, No. 187
1.0
6.250 0.000 0.000
-3.125 5.413 0.000
0.000 0.000 9.834
Mg Nb Ni
14 1 1
direct
0.000 0.000 0.242
0.000 0.000 0.758
0.019 0.509 0.257
0.019 0.509 0.743
0.329 0.165 0.500
0.341 0.171 0.000
0.491 0.509 0.257
0.491 0.509 0.743
0.491 0.981 0.257
0.491 0.981 0.743
0.829 0.171 0.000
0.829 0.659 0.000
0.835 0.165 0.500
0.835 0.671 0.500
0.333 0.667 0.000
0.333 0.667 0.500

Short version: <1> is the least stable of them.

<1>
MgNb3Ni (PBE, optimized geometry); magnetic moment = 0.00 μB/atom; symmetry = Pm-3m, No. 221
1.0
4.677 0.000 0.000
0.000 4.677 0.000
0.000 0.000 4.677
Mg Nb Ni
1 3 1
direct
0.000 0.000 0.000
0.000 0.500 0.500
0.500 0.000 0.500
0.500 0.500 0.000
0.500 0.500 0.500

<2>
MgNb3Ni (PBE, optimized geometry); magnetic moment = 0.00 μB/atom; symmetry = Pm-3m, No. 221
1.0
4.688 0.000 0.000
0.000 4.688 0.000
0.000 0.000 4.688
Mg Nb Ni
1 3 1
direct
0.000 0.000 0.000
0.000 0.000 0.500
0.000 0.500 0.000
0.500 0.000 0.000
0.500 0.500 0.500

Short version: <2> is the least stable of them.

<1>
MgNbP2O (PBE, optimized geometry); magnetic moment = 0.00 μB/atom; symmetry = P4/mmm, No. 123
1.0
4.963 0.000 0.000
0.000 4.963 0.000
0.000 0.000 3.886
Mg Nb P O
1 1 2 1
direct
0.000 0.000 0.000
0.500 0.500 0.500
0.000 0.500 0.500
0.500 0.000 0.500
0.500 0.500 0.000

<2>
MgNbP2O (PBE, optimized geometry); magnetic moment = 0.00 μB/atom; symmetry = P4/mmm, No. 123
1.0
4.818 0.000 0.000
0.000 4.818 0.000
0.000 0.000 3.551
Mg Nb P O
1 1 2 1
direct
0.000 0.000 0.000
0.500 0.500 0.500
0.000 0.500 0.000
0.500 0.000 0.000
0.000 0.000 0.500

Short version: <2> is the least stable of them.

<1>
MgNbPO2 (PBE, optimized geometry); magnetic moment = 0.05 μB/atom; symmetry = P4/mmm, No. 123
1.0
3.736 0.000 0.000
0.000 3.736 0.000
0.000 0.000 4.976
Mg Nb P O
1 1 1 2
direct
0.000 0.000 0.000
0.500 0.500 0.500
0.000 0.000 0.500
0.000 0.500 0.000
0.500 0.000 0.000

<2>
MgNbPO2 (PBE, optimized geometry); magnetic moment = 0.00 μB/atom; symmetry = P4/mmm, No. 123
1.0
3.923 0.000 0.000
0.000 3.923 0.000
0.000 0.000 5.258
Mg Nb P O
1 1 1 2
direct
0.000 0.000 0.000
0.500 0.500 0.500
0.500 0.500 0.000
0.000 0.500 0.500
0.500 0.000 0.500

Short version: <1> is the least stable of them.

<1>
MgTiNb2Pb4O12 (PBE, optimized geometry); magnetic moment = 0.00 μB/atom; symmetry = P1, No. 1
1.0
8.294 0.000 0.000
-0.151 8.308 0.000
-4.078 -4.147 8.025
Mg Ti Nb Pb O
2 2 4 8 24
direct
0.000 0.000 0.000
0.248 0.749 0.500
0.492 0.507 0.000
0.741 0.256 0.500
0.239 0.244 0.500
0.503 0.008 0.999
0.756 0.760 0.500
0.989 0.493 0.001
0.108 0.153 0.771
0.109 0.658 0.758
0.339 0.888 0.247
0.351 0.400 0.259
0.588 0.132 0.730
0.606 0.654 0.746
0.849 0.893 0.229
0.865 0.409 0.270
0.014 0.234 0.503
0.023 0.723 0.995
0.030 0.247 0.996
0.145 0.102 0.256
0.149 0.605 0.243
0.266 0.476 0.987
0.270 0.474 0.494
0.272 0.974 0.002
0.287 0.002 0.508
0.394 0.850 0.756
0.406 0.360 0.755
0.512 0.232 0.994
0.520 0.731 0.010
0.522 0.233 0.501
0.522 0.722 0.501
0.635 0.591 0.244
0.651 0.105 0.254
0.751 0.965 0.001
0.762 0.985 0.497
0.764 0.486 0.006
0.765 0.473 0.495
0.891 0.348 0.744
0.892 0.850 0.743
0.994 0.712 0.489

<2>
MgTiNb2Pb4O12 (PBE, optimized geometry); magnetic moment = 0.00 μB/atom; symmetry = Pmm2, No. 25
1.0
5.796 0.000 0.000
0.000 8.023 0.000
0.000 0.000 5.925
Mg Ti Nb Pb O
1 1 2 4 12
direct
0.000 0.000 0.000
0.500 0.500 0.477
0.000 0.500 0.977
0.500 0.000 0.503
0.000 0.246 0.448
0.000 0.754 0.448
0.500 0.230 0.952
0.500 0.770 0.952
0.000 0.259 0.050
0.000 0.741 0.050
0.247 0.000 0.287
0.251 0.500 0.287
0.253 0.500 0.776
0.270 0.000 0.777
0.500 0.255 0.533
0.500 0.745 0.533
0.730 0.000 0.777
0.747 0.500 0.776
0.749 0.500 0.287
0.753 0.000 0.287

Short version: <2> is the least stable of them.